Compound: TcPb2Cl
Source: the Alexandria database
Functional: PBE
Structure: relaxed

Calculated values
Raw formation energy ... 2.35 eV/f.u.
Space group ... Fm-3m, No. 225
Crystal system ... cubic
Energy above the lowest structure with this stoichiometry ... 401.7 meV/atom

Lattice parameters (Å, degrees): 5.1753 5.1753 5.1753 60.00 60.00 60.00
Last column: magnetic moment on the atom in μB.
Element x y z (fractional)
Cl: 0.0000 0.0000 0.0000  0.04
Tc: 0.5000 0.5000 0.5000  2.35
Pb: 0.7500 0.7500 0.7500  -0.04
Pb: 0.2500 0.2500 0.2500  -0.04